## InSi3Ni (PBE-GGA)

Data for a geometry-optimized InSi3Ni structure.

a b c (Å): 4.5190 4.5190 4.5190
angles (deg): 90.00 90.00 90.00
With the nearest neighbours (Å) after each atom.
Sites, in units of the cell vectors:
Ni 0.0000 0.0000 0.0000  6 Si 2.26
Si 0.0000 0.5000 0.0000  2 Ni 2.26
Si 0.0000 0.0000 0.5000  2 Ni 2.26
Si 0.5000 0.0000 0.0000  2 Ni 2.26
In 0.5000 0.5000 0.5000  12 Si 3.20

Values from the calculation:
**Formation energy from raw total energies**: 380 meV/atom
**DOS at the Fermi energy**: 4.4 states/eV/cell

---

## BaPaOsO6 (PBE-GGA)

Data for a geometry-optimized BaPaOsO6 structure.

a b c (Å): 7.4884 7.1688 7.2279
angles (deg): 119.73 121.20 90.00
With the nearest neighbours (Å) after each atom.
Sites, in units of the cell vectors:
Ba 0.8339 0.5839 0.6679  9 O 2.86-3.10
Ba 0.1661 0.4161 0.3321  9 O 2.86-3.10
Pa 0.5000 0.0000 0.5000  6 O 2.17-2.34
Pa 0.0000 0.0000 0.5000  6 O 2.17-2.34
Os 0.5000 0.5000 0.0000  6 O 1.96-1.98
Os 0.5000 0.0000 0.0000  6 O 1.96-1.98
O 0.5824 0.8324 0.1649  2 Os 1.98
O 0.8588 0.1088 0.7176  2 Pa 2.17
O 0.8221 0.1612 0.2711  1 Os 1.96
O 0.4489 0.6098 0.2711  1 Os 1.96
O 0.4489 0.1612 0.2711  1 Os 1.96
O 0.8221 0.6098 0.2711  1 Os 1.96
O 0.4176 0.1676 0.8351  2 Os 1.98
O 0.1412 0.8912 0.2824  2 Pa 2.17
O 0.1779 0.8388 0.7289  1 Os 1.96
O 0.5511 0.3902 0.7289  1 Os 1.96
O 0.5511 0.8388 0.7289  1 Os 1.96
O 0.1779 0.3902 0.7289  1 Os 1.96

Values from the calculation:
**Formation energy from raw total energies**: -2387 meV/atom
**DOS at the Fermi energy**: 4.2 states/eV/cell

---

## MnZn2Se (PBE-GGA)

Data for a geometry-optimized MnZn2Se structure.

a b c (Å): 5.6182 3.6675 3.6718
angles (deg): 90.72 90.00 90.00
With the nearest neighbours (Å) after each atom.
Sites, in units of the cell vectors:
Mn 0.5000 0.2500 0.2500  4 Se 2.58-2.61
Se 0.5000 0.7500 0.7500  4 Mn 2.58-2.61
Zn 0.0000 0.0004 0.0005  4 Zn 2.57-2.61
Zn 0.0000 0.4996 0.4995  4 Zn 2.57-2.61

Values from the calculation:
**Formation energy from raw total energies**: 91 meV/atom
**DOS at the Fermi energy**: 2.3 states/eV/cell

---

## Ho4I5N (PBE-GGA)

Data for a geometry-optimized Ho4I5N structure.

a b c (Å): 3.9077 8.4992 9.9284
angles (deg): 101.92 101.35 90.00
With the nearest neighbours (Å) after each atom.
Sites, in units of the cell vectors:
Ho 0.6206 0.0584 0.2412  1 N 2.30
Ho 0.9997 0.1872 0.9994  2 N 2.52
Ho 0.3794 0.9416 0.7588  1 N 2.30
Ho 0.0003 0.8128 0.0006  2 N 2.52
I 0.1591 0.3352 0.3182  3 Ho 3.03-3.09
I 0.1613 0.8194 0.3225  3 Ho 3.04-3.12
I 0.8387 0.1806 0.6775  3 Ho 3.04-3.12
I 0.5000 0.5000 0.0000  4 Ho 3.30
I 0.8409 0.6648 0.6818  3 Ho 3.03-3.09
N 0.5000 0.0000 0.0000  6 Ho 2.30-2.52

Values from the calculation:
**Formation energy from raw total energies**: -1235 meV/atom
**DOS at the Fermi energy**: 3.2 states/eV/cell

---

## Ba2TlCu (PBE-GGA)

Data for a geometry-optimized Ba2TlCu structure.

a b c (Å): 4.0837 4.0053 9.5640
angles (deg): 65.18 90.00 90.00
With the nearest neighbours (Å) after each atom.
Sites, in units of the cell vectors:
Tl 0.5000 0.7500 0.7500  8 Ba 3.71, 4 Tl 4.01-4.08
Ba 0.0000 0.9776 0.0226  4 Cu 3.47-3.48, 4 Tl 3.71
Ba 0.0000 0.5224 0.4774  4 Cu 3.47-3.48, 4 Tl 3.71
Cu 0.5000 0.2500 0.2500  8 Ba 3.47-3.48

Values from the calculation:
**Energy relative to the elements**: -0.15 eV/atom
**DOS at the Fermi energy**: 3.7 states/eV/cell

---

## Y4Tm3Al4 (PBE-GGA)

Data for a geometry-optimized Y4Tm3Al4 structure.

a b c (Å): 5.1155 6.6702 9.4892
angles (deg): 110.58 105.64 90.00
With the nearest neighbours (Å) after each atom.
Sites, in units of the cell vectors:
Y 0.3203 0.0822 0.6405  4 Al 3.01-3.09, 1 Y 3.18
Y 0.6797 0.4417 0.3595  4 Al 3.01-3.09, 1 Y 3.18
Y 0.6797 0.9178 0.3595  4 Al 3.01-3.09, 1 Y 3.18
Y 0.3203 0.5583 0.6405  4 Al 3.01-3.09, 1 Y 3.18
Tm 0.0970 0.0970 0.1939  1 Tm 3.30, 6 Al 3.34-3.56, 4 Y 3.40
Tm 0.9030 0.9030 0.8061  1 Tm 3.30, 6 Al 3.34-3.56, 4 Y 3.40
Tm 0.0000 0.5000 0.0000  6 Al 2.91-3.22
Al 0.1708 0.6708 0.3416  1 Tm 2.91, 6 Y 3.01-3.09
Al 0.8292 0.3292 0.6584  1 Tm 2.91, 6 Y 3.01-3.09
Al 0.5000 0.7943 0.0000  1 Al 2.74
Al 0.5000 0.2057 0.0000  1 Al 2.74

Values from the calculation:
**Energy relative to the elements**: -0.17 eV/atom
**DOS at the Fermi energy**: 10.4 states/eV/cell

---

## Li2Ga5Ir3 (PBE-GGA)

Data for a geometry-optimized Li2Ga5Ir3 structure.

a b c (Å): 5.5402 7.6241 7.6238
angles (deg): 104.73 94.03 94.03
With the nearest neighbours (Å) after each atom.
Sites, in units of the cell vectors:
Li 0.8878 0.6141 0.1401  6 Ga 2.69-2.92, 2 Li 2.81-2.89, 2 Ir 2.89-2.96
Li 0.3878 0.1401 0.6141  6 Ga 2.69-2.92, 2 Li 2.81-2.89, 2 Ir 2.89-2.96
Li 0.1122 0.3859 0.8599  6 Ga 2.69-2.92, 2 Li 2.81-2.89, 2 Ir 2.89-2.96
Li 0.6122 0.8599 0.3859  6 Ga 2.69-2.92, 2 Li 2.81-2.89, 2 Ir 2.89-2.96
Ga 0.5776 0.2814 0.9608  4 Ir 2.48-2.66, 1 Li 2.69, 1 Ga 2.73
Ga 0.0776 0.9608 0.2814  4 Ir 2.48-2.66, 1 Li 2.69, 1 Ga 2.73
Ga 0.4224 0.7186 0.0392  4 Ir 2.48-2.66, 1 Li 2.69, 1 Ga 2.73
Ga 0.9224 0.0392 0.7186  4 Ir 2.48-2.66, 1 Li 2.69, 1 Ga 2.73
Ga 0.9827 0.7223 0.8143  4 Ir 2.49-2.66, 1 Ga 2.73
Ga 0.0173 0.2777 0.1857  4 Ir 2.49-2.66, 1 Ga 2.73
Ga 0.7500 0.5376 0.4624  4 Ir 2.56-2.62, 2 Li 2.81, 2 Ga 2.86
Ga 0.2500 0.4624 0.5376  4 Ir 2.56-2.62, 2 Li 2.81, 2 Ga 2.86
Ga 0.5173 0.1857 0.2777  4 Ir 2.49-2.66, 1 Ga 2.73
Ga 0.4827 0.8143 0.7223  4 Ir 2.49-2.66, 1 Ga 2.73
Ir 0.6154 0.5042 0.7751  6 Ga 2.48-2.64
Ir 0.1154 0.7751 0.5042  6 Ga 2.48-2.64
Ir 0.3846 0.4958 0.2249  6 Ga 2.48-2.64
Ir 0.8846 0.2249 0.4958  6 Ga 2.48-2.64
Ir 0.2500 0.0180 0.9820  8 Ga 2.59-2.66, 2 Ir 2.80
Ir 0.7500 0.9820 0.0180  8 Ga 2.59-2.66, 2 Ir 2.80

Values from the calculation:
**Energy relative to the elements**: -0.40 eV/atom
**DOS at the Fermi energy**: 7.6 states/eV/cell

---

## TmBeGa2Ni4 (PBE-GGA)

Data for a geometry-optimized TmBeGa2Ni4 structure.

a b c (Å): 4.0030 4.0030 8.1380
angles (deg): 75.76 75.76 60.00
With the nearest neighbours (Å) after each atom.
Sites, in units of the cell vectors:
Tm 0.0000 0.0000 0.0000  8 Ni 2.90-3.16, 6 Ga 3.16
Be 0.5000 0.5000 0.5000  2 Ni 2.16
Ga 0.7589 0.7589 0.7234  7 Ni 2.35-2.52
Ga 0.2411 0.2411 0.2766  7 Ni 2.35-2.52
Ni 0.4078 0.4078 0.7765  1 Be 2.16, 3 Ga 2.35
Ni 0.8651 0.8651 0.4046  3 Be 2.43, 4 Ga 2.49-2.52, 3 Ni 2.71
Ni 0.1349 0.1349 0.5954  3 Be 2.43, 4 Ga 2.49-2.52, 3 Ni 2.71
Ni 0.5922 0.5922 0.2235  1 Be 2.16, 3 Ga 2.35

Values from the calculation:
**Energy relative to the elements**: -0.45 eV/atom
**DOS at the Fermi energy**: 4.3 states/eV/cell

---

## TaIr2Cl (PBE-GGA)

Data for a geometry-optimized TaIr2Cl structure.

a b c (Å): 4.9407 4.9407 2.8492
angles (deg): 90.00 90.00 111.95
With the nearest neighbours (Å) after each atom.
Sites, in units of the cell vectors:
Cl 0.0000 0.5000 0.5000  2 Ta 2.76, 2 Cl 2.85, 8 Ir 2.85
Ir 0.0000 0.0000 0.0000  4 Ir 2.76-2.85, 4 Cl 2.85, 4 Ta 2.85
Ir 0.5000 0.5000 0.0000  4 Ir 2.76-2.85, 4 Ta 2.85, 4 Cl 2.85
Ta 0.5000 0.0000 0.5000  2 Cl 2.76, 2 Ta 2.85, 8 Ir 2.85

Values from the calculation:
**Formation energy from raw total energies**: 589 meV/atom
**DOS at the Fermi energy**: 5.5 states/eV/cell

---

## Ta2PAu (PBE-GGA)

Data for a geometry-optimized Ta2PAu structure.

a b c (Å): 3.5322 2.9532 6.5203
angles (deg): 80.22 90.00 90.00
With the nearest neighbours (Å) after each atom.
Sites, in units of the cell vectors:
Ta 0.0000 0.0973 0.7218  2 P 2.46
Ta 0.0000 0.9027 0.2782  2 P 2.46
P 0.5000 0.5000 0.5000  4 Ta 2.46
Au 0.5000 0.5000 0.0000  8 Ta 2.90-2.93, 2 Au 2.95

Values from the calculation:
**Energy relative to the elements**: -0.23 eV/atom
**DOS at the Fermi energy**: 2.0 states/eV/cell

---

| no. | VASP energy (eV/atom) | magnetization (μB per atom) |
| --- | --- | --- |
| 1 | -4.578 | 0.000 |
| 2 | -8.209 | 0.329 |
| 3 | -3.710 | 1.120 |
| 4 | -4.674 | 0.000 |
| 5 | -2.730 | 0.000 |
| 6 | -5.105 | 0.000 |
| 7 | -4.950 | 0.000 |
| 8 | -5.123 | 0.000 |
| 9 | -7.267 | 0.000 |
| 10 | -8.327 | 0.000 |